Density functional theory data (GGA-PBE) for a relaxed structure of AgSbOsBr2.

Properties
- calculated volume (Å³/atom) = 26.07
- E_form (uncorrected) (eV per atom) = 0.96
- magnetization (Bohr magnetons per cell) = 0.00

abc: 4.8352 4.8352 5.5758
angles: 90.00 90.00 90.00
Element x y z (fractional)
Ag  0.0000  0.0000  0.0000
Sb  0.5000  0.5000  0.0000
Os  0.0000  0.0000  0.5000
Br  0.0000  0.5000  0.5000
Br  0.5000  0.0000  0.5000